Record 1
Material: K2Zn3O4
Method: DFT, SCAN
State: PBEsol geometry

Structure (CIF):
```
data_K2Zn3O4
_space_group_name_H-M_alt 'C 1 2/c 1'
_space_group_IT_number 15
_space_group_name_Hall '-C 2yc'
_cell_length_a 14.718
_cell_length_b 6.357
_cell_length_c 5.732
_cell_angle_alpha 90.00
_cell_angle_beta 103.13
_cell_angle_gamma 90.00
loop_
_atom_site_label
_atom_site_type_symbol
_atom_site_fract_x
_atom_site_fract_y
_atom_site_fract_z
_atom_site_occupancy
K1 K 0.119 0.123 0.486 1
Zn1 Zn 0.000 0.480 0.750 1
Zn2 Zn 0.191 0.383 0.084 1
O1 O 0.058 0.320 0.045 1
O2 O 0.236 0.376 0.784 1
```

Computed properties:
D(E_F) in states/eV/f.u.: 0.00
M_tot in μB per cell: 0.000
Formation energy from raw total energies in eV per atom: -1.584

Record 2
Material: K2Zn6O7
Method: DFT, SCAN
State: PBEsol geometry

Structure (CIF):
```
data_K2Zn6O7
_space_group_name_H-M_alt 'P 42/m n m'
_space_group_IT_number 136
_space_group_name_Hall '-P 4n 2n'
_cell_length_a 10.832
_cell_length_b 10.832
_cell_length_c 3.318
_cell_angle_alpha 90.00
_cell_angle_beta 90.00
_cell_angle_gamma 90.00
loop_
_atom_site_label
_atom_site_type_symbol
_atom_site_fract_x
_atom_site_fract_y
_atom_site_fract_z
_atom_site_occupancy
K1 K 0.141 0.141 0.000 1
Zn1 Zn 0.087 0.652 0.000 1
Zn2 Zn 0.122 0.878 0.500 1
O1 O 0.000 0.000 0.500 1
O2 O 0.004 0.311 0.500 1
O3 O 0.193 0.807 0.000 1
```

Computed properties:
M_tot in μB per cell: 0.000
Formation energy from raw total energies in eV per atom: -1.591

Record 3
Material: K4ZrO4
Method: DFT, SCAN
State: PBEsol geometry

Structure (CIF):
```
data_K4ZrO4
_space_group_name_H-M_alt 'P -1'
_space_group_IT_number 2
_space_group_name_Hall '-P 1'
_cell_length_a 6.504
_cell_length_b 6.525
_cell_length_c 9.785
_cell_angle_alpha 80.64
_cell_angle_beta 71.71
_cell_angle_gamma 67.41
loop_
_atom_site_label
_atom_site_type_symbol
_atom_site_fract_x
_atom_site_fract_y
_atom_site_fract_z
_atom_site_occupancy
K1 K 0.017 0.269 0.439 1
K2 K 0.101 0.730 0.175 1
K3 K 0.260 0.239 0.019 1
K4 K 0.455 0.229 0.610 1
Zr1 Zr 0.344 0.721 0.756 1
O1 O 0.152 0.532 0.806 1
O2 O 0.206 0.965 0.627 1
O3 O 0.343 0.460 0.358 1
O4 O 0.346 0.849 0.925 1
```

Computed properties:
D(E_F) in states/eV/f.u.: 0.00
M_tot in μB per cell: 0.335
Formation energy from raw total energies in eV per atom: -2.281

Record 4
Material: KZrO3
Method: DFT, SCAN
State: PBEsol geometry

Structure (CIF):
```
data_KZrO3
_space_group_name_H-M_alt 'P m -3 m'
_space_group_IT_number 221
_space_group_name_Hall '-P 4 2 3'
_cell_length_a 4.173
_cell_length_b 4.173
_cell_length_c 4.173
_cell_angle_alpha 90.00
_cell_angle_beta 90.00
_cell_angle_gamma 90.00
loop_
_atom_site_label
_atom_site_type_symbol
_atom_site_fract_x
_atom_site_fract_y
_atom_site_fract_z
_atom_site_occupancy
K1 K 0.000 0.000 0.000 1
Zr1 Zr 0.500 0.500 0.500 1
O1 O 0.000 0.500 0.500 1
```

Computed properties:
D(E_F) in states/eV/f.u.: 2.71
M_tot in μB per cell: 1.005
Formation energy from raw total energies in eV per atom: -2.686

Record 5
Material: KOs3
Method: DFT, SCAN
State: PBEsol geometry

Structure (CIF):
```
data_KOs3
_space_group_name_H-M_alt 'P 4/m m m'
_space_group_IT_number 123
_space_group_name_Hall '-P 4 2'
_cell_length_a 2.725
_cell_length_b 2.725
_cell_length_c 9.398
_cell_angle_alpha 90.00
_cell_angle_beta 90.00
_cell_angle_gamma 90.00
loop_
_atom_site_label
_atom_site_type_symbol
_atom_site_fract_x
_atom_site_fract_y
_atom_site_fract_z
_atom_site_occupancy
K1 K 0.000 0.000 0.000 1
Os1 Os 0.000 0.000 0.500 1
Os2 Os 0.500 0.500 0.305 1
```

Computed properties:
ΔH_f (0 K) in eV/f.u.: 3.58
Energy relative to the lowest polymorph listed for this composition in meV/atom: 124.9
D(E_F) in states/eV/f.u.: 4.60
M_tot in μB per cell: 0.000

Record 6
Material: KOs3
Method: DFT, SCAN
State: PBEsol geometry

Structure (CIF):
```
data_KOs3
_space_group_name_H-M_alt 'R -3 m'
_space_group_IT_number 166
_space_group_name_Hall '-R 3 2"'
_cell_length_a 2.7342
_cell_length_b 2.7342
_cell_length_c 30.5274
_cell_angle_alpha 90.00
_cell_angle_beta 90.00
_cell_angle_gamma 120.00
loop_
_atom_site_label
_atom_site_type_symbol
_atom_site_fract_x
_atom_site_fract_y
_atom_site_fract_z
_atom_site_occupancy
K1 K 0.0000 0.0000 0.0000 1
Os1 Os 0.0000 0.0000 0.2367 1
Os2 Os 0.0000 0.0000 0.5000 1
```

Computed properties:
ΔH_f (0 K) in eV/f.u.: 3.08
Energy relative to the lowest polymorph listed for this composition in meV/atom: 0.0
D(E_F) in states/eV/f.u.: 2.91
M_tot in μB per cell: 0.000

Record 7
Material: KOs3
Method: DFT, SCAN
State: PBEsol geometry

Structure (CIF):
```
data_KOs3
_space_group_name_H-M_alt 'R -3 m'
_space_group_IT_number 166
_space_group_name_Hall '-R 3 2"'
_cell_length_a 9.3233
_cell_length_b 9.3233
_cell_length_c 2.5550
_cell_angle_alpha 90.00
_cell_angle_beta 90.00
_cell_angle_gamma 120.00
loop_
_atom_site_label
_atom_site_type_symbol
_atom_site_fract_x
_atom_site_fract_y
_atom_site_fract_z
_atom_site_occupancy
K1 K 0.0000 0.0000 0.0000 1
Os1 Os 0.0000 0.5000 0.0000 1
```

Computed properties:
ΔH_f (0 K) in eV/f.u.: 6.67
Energy relative to the lowest polymorph listed for this composition in meV/atom: 897.2
D(E_F) in states/eV/f.u.: 5.18
M_tot in μB per cell: 0.018

Record 8
Material: KOs3
Method: DFT, SCAN
State: PBEsol geometry

Structure (CIF):
```
data_KOs3
_space_group_name_H-M_alt 'C m m m'
_space_group_IT_number 65
_space_group_name_Hall '-C 2 2'
_cell_length_a 5.860
_cell_length_b 8.453
_cell_length_c 2.582
_cell_angle_alpha 90.00
_cell_angle_beta 90.00
_cell_angle_gamma 90.00
loop_
_atom_site_label
_atom_site_type_symbol
_atom_site_fract_x
_atom_site_fract_y
_atom_site_fract_z
_atom_site_occupancy
K1 K 0.000 0.000 0.000 1
Os1 Os 0.000 0.500 0.000 1
Os2 Os 0.250 0.250 0.500 1
```

Computed properties:
ΔH_f (0 K) in eV/f.u.: 6.57
Energy relative to the lowest polymorph listed for this composition in meV/atom: 872.4
D(E_F) in states/eV/f.u.: 4.73
M_tot in μB per cell: 0.001

Record 9
Material: KPOs2
Method: DFT, SCAN
State: PBEsol geometry

Structure (CIF):
```
data_KPOs2
_space_group_name_H-M_alt 'I 4/m m m'
_space_group_IT_number 139
_space_group_name_Hall '-I 4 2'
_cell_length_a 3.819
_cell_length_b 3.819
_cell_length_c 9.037
_cell_angle_alpha 90.00
_cell_angle_beta 90.00
_cell_angle_gamma 90.00
loop_
_atom_site_label
_atom_site_type_symbol
_atom_site_fract_x
_atom_site_fract_y
_atom_site_fract_z
_atom_site_occupancy
K1 K 0.000 0.000 0.000 1
P1 P 0.000 0.000 0.500 1
Os1 Os 0.000 0.500 0.250 1
```

Computed properties:
ΔH_f (0 K) in eV/f.u.: 6.84
Energy relative to the lowest polymorph listed for this composition in meV/atom: 718.6
D(E_F) in states/eV/f.u.: 2.94
M_tot in μB per cell: 1.383

Record 10
Material: KPOs2
Method: DFT, SCAN
State: PBEsol geometry

Structure (CIF):
```
data_KPOs2
_space_group_name_H-M_alt 'I m m 2'
_space_group_IT_number 44
_space_group_name_Hall 'I 2 -2'
_cell_length_a 2.672
_cell_length_b 5.519
_cell_length_c 10.028
_cell_angle_alpha 90.00
_cell_angle_beta 90.00
_cell_angle_gamma 90.00
loop_
_atom_site_label
_atom_site_type_symbol
_atom_site_fract_x
_atom_site_fract_y
_atom_site_fract_z
_atom_site_occupancy
K1 K 0.000 0.000 0.000 1
P1 P 0.000 0.500 0.225 1
Os1 Os 0.000 0.000 0.532 1
Os2 Os 0.000 0.500 0.817 1
```

Computed properties:
ΔH_f (0 K) in eV/f.u.: 3.97
Energy relative to the lowest polymorph listed for this composition in meV/atom: 0.0
D(E_F) in states/eV/f.u.: 3.72
M_tot in μB per cell: 0.003

Record 11
Material: KPOs2
Method: DFT, SCAN
State: PBEsol geometry

Structure (CIF):
```
data_KPOs2
_space_group_name_H-M_alt 'F m -3 m'
_space_group_IT_number 225
_space_group_name_Hall '-F 4 2 3'
_cell_length_a 6.166
_cell_length_b 6.166
_cell_length_c 6.166
_cell_angle_alpha 90.00
_cell_angle_beta 90.00
_cell_angle_gamma 90.00
loop_
_atom_site_label
_atom_site_type_symbol
_atom_site_fract_x
_atom_site_fract_y
_atom_site_fract_z
_atom_site_occupancy
K1 K 0.000 0.000 0.000 1
P1 P 0.000 0.000 0.500 1
Os1 Os 0.250 0.250 0.250 1
```

Computed properties:
ΔH_f (0 K) in eV/f.u.: 6.92
Energy relative to the lowest polymorph listed for this composition in meV/atom: 739.2
D(E_F) in states/eV/f.u.: 4.36
M_tot in μB per cell: 0.001

Record 12
Material: K2POs
Method: DFT, SCAN
State: PBEsol geometry

Structure (CIF):
```
data_K2POs
_space_group_name_H-M_alt 'I m m 2'
_space_group_IT_number 44
_space_group_name_Hall 'I 2 -2'
_cell_length_a 3.722
_cell_length_b 5.590
_cell_length_c 10.437
_cell_angle_alpha 90.00
_cell_angle_beta 90.00
_cell_angle_gamma 90.00
loop_
_atom_site_label
_atom_site_type_symbol
_atom_site_fract_x
_atom_site_fract_y
_atom_site_fract_z
_atom_site_occupancy
K1 K 0.000 0.000 0.000 1
K2 K 0.000 0.500 0.190 1
P1 P 0.000 0.000 0.415 1
Os1 Os 0.000 0.500 0.807 1
```

Computed properties:
ΔH_f (0 K) in eV/f.u.: 0.51
Energy relative to the lowest polymorph listed for this composition in meV/atom: 0.0
D(E_F) in states/eV/f.u.: 1.56
M_tot in μB per cell: 0.000